(1)
Entry from the Alexandria database: a relaxed structure of LiNb2B (PBE-GGA).

```
LiNb2B
1.0
-3.339 3.339 2.584
3.339 -3.339 2.584
3.339 3.339 -2.584
Li Nb B
2 4 2
direct
0.000 0.000 0.000
0.750 0.250 0.500
0.161 0.625 0.036
0.375 0.411 0.536
0.589 0.125 0.964
0.875 0.839 0.464
0.250 0.750 0.500
0.500 0.500 0.000
```

- Calculated total energy: -54.48 eV/cell
- Calculated formation energy: 0.3723 eV/atom
- Volume: 14.41 Å³/atom
- Size of the total moment: 0.00 μB per formula unit

(2)
Entry from the Alexandria database: a relaxed structure of LiNbB (PBE-GGA).

```
LiNbB
1.0
3.008 0.000 0.000
0.000 1.652 8.250
0.000 -1.652 8.250
Li Nb B
2 2 2
direct
0.000 0.000 0.000
0.500 0.399 0.399
0.000 0.250 0.250
0.500 0.632 0.632
0.000 0.847 0.847
0.500 0.798 0.798
```

- Calculated total energy: -37.50 eV/cell
- Calculated formation energy: -0.0296 eV/atom
- Volume: 13.66 Å³/atom
- Distance to the lowest polymorph of the same formula: 7.81 kJ per mole of atoms
- Size of the total moment: 0.00 μB per formula unit

> Which formula does entry 2 have?

LiNbB